No. 1
{
  "formula": "Li7InGa2",
  "functional": "PBE-GGA",
  "state": "optimized geometry",
  "cell": [[3.409, -6.683, 0.000], [3.409, 6.683, 0.000], [0.000, 0.000, 4.871]],
  "species": ["Li", "Li", "Li", "Li", "Li", "Li", "Li", "In", "Ga", "Ga"],
  "fractional_positions": [[0.000, 0.000, 0.000], [0.210, 0.434, 0.000], [0.276, 0.724, 0.500], [0.434, 0.210, 0.000], [0.566, 0.790, 0.000], [0.724, 0.276, 0.500], [0.790, 0.566, 0.000], [0.500, 0.500, 0.500], [0.209, 0.791, 0.000], [0.791, 0.209, 0.000]],
  "delta_e_f_ev_per_atom": 0.06,
  "m_tot_mub_per_fu": 0.000
}

No. 2
{
  "formula": "Pm8ErBi6",
  "functional": "PBE-GGA",
  "state": "optimized geometry",
  "cell": [[4.129, 2.384, 8.787], [-4.129, 2.384, 8.787], [0.000, -4.768, 8.787]],
  "species": ["Pm", "Pm", "Pm", "Pm", "Pm", "Pm", "Pm", "Pm", "Er", "Bi", "Bi", "Bi", "Bi", "Bi", "Bi"],
  "fractional_positions": [[0.037, 0.381, 0.716], [0.167, 0.167, 0.167], [0.284, 0.963, 0.619], [0.381, 0.716, 0.037], [0.619, 0.284, 0.963], [0.716, 0.037, 0.381], [0.833, 0.833, 0.833], [0.963, 0.619, 0.284], [0.500, 0.500, 0.500], [0.109, 0.762, 0.433], [0.238, 0.567, 0.891], [0.433, 0.109, 0.762], [0.567, 0.891, 0.238], [0.762, 0.433, 0.109], [0.891, 0.238, 0.567]],
  "delta_e_f_ev_per_atom": -0.57,
  "m_tot_mub_per_fu": 0.001
}